Entry 1:
Compound: La3Pr5Tl2
Source: Alexandria
Functional: PBE
Structure: optimized geometry

Output
raw total energy: -4.306 eV per atom
total magnetic moment: 0.0 μB/cell
D(E_F): 14.6 states/eV/f.u.
formation energy from the elements: 0.04 eV per atom

abc: 13.5137 15.5788 6.8371
angles: 90.00 90.00 90.00
Space group Ibam (No. 72)
Inequivalent atoms, fractional coordinates:
1 La 0.0000 0.0000 0.2500 x4
2 La 0.1288 0.2366 0.0000 x8
3 Pr 0.0000 0.5000 0.2500 x4
4 Pr 0.1023 0.3373 0.5000 x8
5 Pr 0.2470 0.5000 0.2500 x8
6 Tl 0.1323 0.1447 0.5000 x8

***

Entry 2:
Compound: LaPr12Tl6
Source: Alexandria
Functional: PBE
Structure: optimized geometry

Output
raw total energy: -4.061 eV per atom
total magnetic moment: 0.0 μB/cell
D(E_F): 31.8 states/eV/f.u.
formation energy from the elements: -0.04 eV per atom

abc: 14.1558 14.1558 11.7042
angles: 90.00 90.00 120.00
Space group R-3m (No. 166, hexagonal axes)
Inequivalent atoms, fractional coordinates:
1 La 0.0000 0.0000 0.0000 x3
2 Pr 0.0000 0.3908 0.5000 x18
3 Pr 0.0877 0.1753 0.3436 x18
4 Tl 0.0232 0.5116 0.2553 x18

***

Entry 3:
Compound: LaPr2Tl9
Source: Alexandria
Functional: PBE
Structure: optimized geometry

Output
raw total energy: -3.322 eV per atom
total magnetic moment: 0.0 μB/cell
D(E_F): 5.1 states/eV/f.u.
formation energy from the elements: -0.34 eV per atom

abc: 4.8678 4.8678 14.5979
angles: 90.00 90.00 90.00
Space group P4/mmm (No. 123)
Inequivalent atoms, fractional coordinates:
1 La 0.0000 0.0000 0.0000 x1
2 Pr 0.0000 0.0000 0.3350 x2
3 Tl 0.0000 0.5000 0.1681 x4
4 Tl 0.0000 0.5000 0.5000 x2
5 Tl 0.5000 0.5000 0.0000 x1
6 Tl 0.5000 0.5000 0.3335 x2

***

Entry 4:
Compound: La5Pr4Tl4
Source: Alexandria
Functional: PBE
Structure: optimized geometry

Output
raw total energy: -4.358 eV per atom
total magnetic moment: 0.0 μB/cell
D(E_F): 17.0 states/eV/f.u.
formation energy from the elements: -0.26 eV per atom

abc: 12.8879 12.8879 5.2830
angles: 90.00 90.00 90.00
Space group I4/m (No. 87)
Inequivalent atoms, fractional coordinates:
1 La 0.0000 0.0000 0.0000 x2
2 La 0.0991 0.1943 0.5000 x8
3 Pr 0.0890 0.3851 0.0000 x8
4 Tl 0.1088 0.7690 0.0000 x8

***

Entry 5:
Compound: LaPr5Tl6
Source: Alexandria
Functional: PBE
Structure: optimized geometry

Output
raw total energy: -3.982 eV per atom
total magnetic moment: 0.0 μB/cell
D(E_F): 10.9 states/eV/f.u.
formation energy from the elements: -0.40 eV per atom

abc: 5.5802 7.8659 9.6536
angles: 66.00 73.37 89.97
Space group P-1 (No. 2)
Inequivalent atoms, fractional coordinates:
1 La 0.0000 0.0000 0.0000 x1
2 Pr 0.0000 0.5000 0.0000 x1
3 Pr 0.3321 0.3321 0.3358 x2
4 Pr 0.3356 0.8355 0.3288 x2
5 Tl 0.1682 0.4206 0.6643 x2
6 Tl 0.1676 0.9152 0.6641 x2
7 Tl 0.4997 0.2557 0.9999 x2

***

Entry 6:
Compound: La3PrTl
Source: Alexandria
Functional: PBE
Structure: optimized geometry

Output
raw total energy: -4.450 eV per atom
total magnetic moment: 0.0 μB/cell
D(E_F): 5.4 states/eV/f.u.
E above lowest polymorph: 42 meV/atom
formation energy from the elements: -0.06 eV per atom

abc: 5.9794 7.7738 8.3865
angles: 90.00 110.87 90.00
Space group P2_1/m (No. 11)
Inequivalent atoms, fractional coordinates:
1 La 0.1143 0.2500 0.2258 x2
2 La 0.3199 0.0016 0.6405 x4
3 Pr 0.1198 0.7500 0.2404 x2
4 Tl 0.5003 0.2500 0.9974 x2

***

Entry 7:
Compound: LaPr6Tl6
Source: Alexandria
Functional: PBE
Structure: optimized geometry

Output
raw total energy: -3.933 eV per atom
total magnetic moment: 2.6 μB/cell
D(E_F): 15.1 states/eV/f.u.
formation energy from the elements: -0.26 eV per atom

abc: 6.5538 6.5538 11.1509
angles: 90.00 90.00 120.00
Space group P6/mmm (No. 191)
Inequivalent atoms, fractional coordinates:
1 La 0.0000 0.0000 0.0000 x1
2 Pr 0.0000 0.0000 0.3358 x2
3 Pr 0.3333 0.6667 0.0000 x2
4 Pr 0.3333 0.6667 0.5000 x2
5 Tl 0.0000 0.5000 0.2459 x6

***

Entry 8:
Compound: La2Pr6Tl
Source: Alexandria
Functional: PBE
Structure: optimized geometry

Output
raw total energy: -4.535 eV per atom
total magnetic moment: 0.0 μB/cell
D(E_F): 14.0 states/eV/f.u.
E above lowest polymorph: 10 meV/atom
formation energy from the elements: 0.01 eV per atom

abc: 21.0438 10.0255 6.1094
angles: 90.00 99.56 90.00
Space group C2/c (No. 15)
Inequivalent atoms, fractional coordinates:
1 La 0.2486 0.0805 0.4769 x8
2 Pr 0.0723 0.0781 0.4312 x8
3 Pr 0.0782 0.4237 0.3776 x8
4 Pr 0.1618 0.2488 0.9471 x8
5 Tl 0.0000 0.2712 0.7500 x4

***

Entry 9:
Compound: La5Pr4Tl
Source: Alexandria
Functional: PBE
Structure: optimized geometry

Output
raw total energy: -4.618 eV per atom
total magnetic moment: 0.0 μB/cell
D(E_F): 19.5 states/eV/f.u.
E above lowest polymorph: 0 meV/atom
formation energy from the elements: -0.01 eV per atom

abc: 4.3400 4.3400 18.7592
angles: 90.00 90.00 90.00
Space group P4/mmm (No. 123)
Inequivalent atoms, fractional coordinates:
1 La 0.0000 0.0000 0.0000 x1
2 La 0.0000 0.0000 0.2018 x2
3 La 0.0000 0.0000 0.4133 x2
4 Pr 0.5000 0.5000 0.1027 x2
5 Pr 0.5000 0.5000 0.3028 x2
6 Tl 0.5000 0.5000 0.5000 x1

***

Entry 10:
Compound: La4Pr5Tl
Source: Alexandria
Functional: PBE
Structure: optimized geometry

Output
raw total energy: -4.598 eV per atom
total magnetic moment: 0.0 μB/cell
D(E_F): 17.5 states/eV/f.u.
E above lowest polymorph: 0 meV/atom
formation energy from the elements: 0.00 eV per atom

abc: 4.3385 4.3385 18.5275
angles: 90.00 90.00 90.00
Space group P4/mmm (No. 123)
Inequivalent atoms, fractional coordinates:
1 La 0.0000 0.0000 0.1050 x2
2 La 0.0000 0.0000 0.3022 x2
3 Pr 0.5000 0.5000 0.0000 x1
4 Pr 0.5000 0.5000 0.2106 x2
5 Pr 0.5000 0.5000 0.4123 x2
6 Tl 0.0000 0.0000 0.5000 x1

***

Entry 11:
Compound: La5Pr5Tl2
Source: Alexandria
Functional: PBE
Structure: optimized geometry

Output
raw total energy: -4.506 eV per atom
total magnetic moment: 0.0 μB/cell
D(E_F): 16.6 states/eV/f.u.
formation energy from the elements: -0.07 eV per atom

abc: 11.6683 5.5374 12.9887
angles: 90.00 92.14 90.00
Space group C2/m (No. 12)
Inequivalent atoms, fractional coordinates:
1 La 0.0000 0.0000 0.0000 x2
2 La 0.0845 0.5000 0.8083 x4
3 La 0.1560 0.5000 0.5096 x4
4 Pr 0.0000 0.0000 0.5000 x2
5 Pr 0.1246 0.0000 0.2649 x4
6 Pr 0.1994 0.5000 0.0728 x4
7 Tl 0.1853 0.0000 0.6968 x4

***

Entry 12:
Compound: LaPr6Tl2
Source: Alexandria
Functional: PBE
Structure: optimized geometry

Output
raw total energy: -4.415 eV per atom
total magnetic moment: 0.0 μB/cell
D(E_F): 11.6 states/eV/f.u.
E above lowest polymorph: 0 meV/atom
formation energy from the elements: -0.16 eV per atom

abc: 13.3687 3.9093 12.4285
angles: 90.00 108.21 90.00
Space group C2/m (No. 12)
Inequivalent atoms, fractional coordinates:
1 La 0.0000 0.0000 0.0000 x2
2 Pr 0.0108 0.0000 0.3428 x4
3 Pr 0.1883 0.5000 0.8737 x4
4 Pr 0.1914 0.5000 0.5854 x4
5 Tl 0.1406 0.5000 0.2117 x4